Entry 1:
The following is a PBE-GGA calculation of an optimized crystal structure of SrAgTeO, from the Open Quantum Materials Database.

Cell lengths 4.040, 4.040, 14.055 Å; angles 90.00, 90.00, 120.00 degrees
Fractional positions:
O: 0.000 0.000 0.327
Sr: 0.333 0.667 0.290
Te: 0.333 0.667 0.589
Sr: 0.667 0.333 0.790
Te: 0.667 0.333 0.089
Ag: 0.000 0.000 0.982
Ag: 0.000 0.000 0.482
O: 0.000 0.000 0.827

Values from the calculation:
* SG: No. 186
* crystal system: hexagonal
* final energy: -4.38 eV per atom

Entry 2:
The following is a PBE-GGA calculation of an optimized crystal structure of SrAgTeO, from the Open Quantum Materials Database.

Cell lengths 7.336, 8.070, 6.519 Å; angles 90.00, 90.00, 90.00 degrees
Fractional positions:
Sr: 0.926 0.871 0.941
Te: 0.740 0.459 0.756
Ag: 0.009 0.300 0.970
Ag: 0.991 0.700 0.470
Te: 0.240 0.541 0.756
Te: 0.760 0.459 0.256
Te: 0.260 0.541 0.256
Sr: 0.074 0.129 0.441
Ag: 0.509 0.700 0.970
O: 0.130 0.072 0.083
Ag: 0.491 0.300 0.470
Sr: 0.574 0.871 0.441
O: 0.370 0.072 0.583
O: 0.870 0.928 0.583
Sr: 0.426 0.129 0.941
O: 0.630 0.928 0.083

Values from the calculation:
* SG: No. 29
* crystal system: orthorhombic
* final energy: -4.40 eV per atom

Entry 3:
The following is a PBE-GGA calculation of an optimized crystal structure of SrAgTeO, from the Open Quantum Materials Database.

Cell lengths 6.701, 6.701, 7.804 Å; angles 90.00, 90.00, 146.73 degrees
Fractional positions:
Te: 0.678 0.322 0.401
O: 0.075 0.925 0.996
Te: 0.322 0.678 0.901
Sr: 0.943 0.057 0.198
Ag: 0.324 0.676 0.513
Sr: 0.057 0.943 0.698
O: 0.925 0.075 0.496
Ag: 0.676 0.324 0.013

Values from the calculation:
* SG: No. 36
* crystal system: orthorhombic
* final energy: -4.15 eV per atom

Entry 4:
The following is a PBE-GGA calculation of an optimized crystal structure of SrAgTeO, from the Open Quantum Materials Database.

Cell lengths 6.478, 9.747, 6.419 Å; angles 90.00, 90.00, 90.00 degrees
Fractional positions:
Te: 0.500 0.366 0.033
O: 0.124 0.067 0.171
O: 0.876 0.933 0.671
Ag: 0.564 0.914 0.511
Ag: 0.436 0.086 0.011
Te: 0.000 0.634 0.033
O: 0.624 0.933 0.171
Sr: 0.501 0.275 0.535
Te: 0.000 0.366 0.533
Sr: 0.001 0.725 0.535
Ag: 0.936 0.914 0.011
Te: 0.500 0.634 0.533
O: 0.376 0.067 0.671
Ag: 0.064 0.086 0.511
Sr: 0.999 0.275 0.035
Sr: 0.499 0.725 0.035

Values from the calculation:
* SG: No. 29
* crystal system: orthorhombic
* final energy: -4.04 eV per atom

Entry 5:
The following is a PBE-GGA calculation of an optimized crystal structure of SrAgTeO, from the Open Quantum Materials Database.

Cell lengths 6.896, 14.124, 7.980 Å; angles 90.00, 90.00, 90.00 degrees
Fractional positions:
Te: 0.504 0.457 0.766
Ag: 0.782 0.563 0.961
Sr: 0.607 0.291 0.118
Te: 0.004 0.043 0.234
Te: 0.004 0.457 0.734
Sr: 0.893 0.791 0.118
Ag: 0.218 0.437 0.039
Sr: 0.107 0.209 0.882
O: 0.261 0.284 0.113
Te: 0.496 0.543 0.234
Sr: 0.393 0.791 0.382
Te: 0.996 0.957 0.766
Ag: 0.718 0.437 0.461
Te: 0.996 0.543 0.266
Ag: 0.282 0.563 0.539
Te: 0.504 0.043 0.266
Sr: 0.393 0.709 0.882
Te: 0.496 0.957 0.734
O: 0.761 0.284 0.387
O: 0.761 0.216 0.887
Sr: 0.107 0.291 0.382
Sr: 0.607 0.209 0.618
O: 0.239 0.716 0.613
Ag: 0.782 0.937 0.461
O: 0.261 0.216 0.613
O: 0.739 0.784 0.387
O: 0.239 0.784 0.113
Ag: 0.718 0.063 0.961
Sr: 0.893 0.709 0.618
O: 0.739 0.716 0.887
Ag: 0.218 0.063 0.539
Ag: 0.282 0.937 0.039

Values from the calculation:
* SG: No. 61
* crystal system: orthorhombic
* final energy: -4.40 eV per atom

Entry 6:
The following is a PBE-GGA calculation of an optimized crystal structure of SrAgTeO, from the Open Quantum Materials Database.

Cell lengths 6.212, 8.282, 15.751 Å; angles 90.00, 90.00, 90.00 degrees
Fractional positions:
Te: 0.749 0.002 0.018
O: 0.340 0.251 0.765
Ag: 0.750 0.498 0.205
Sr: 0.633 0.251 0.860
O: 0.840 0.249 0.235
Ag: 0.750 0.998 0.205
Ag: 0.750 0.002 0.705
Sr: 0.867 0.749 0.360
Sr: 0.867 0.751 0.860
Ag: 0.750 0.502 0.705
Ag: 0.250 0.998 0.295
Sr: 0.133 0.249 0.140
Ag: 0.250 0.502 0.795
Te: 0.249 0.498 0.982
O: 0.840 0.251 0.735
Te: 0.751 0.502 0.018
Ag: 0.250 0.002 0.795
Te: 0.251 0.502 0.482
Te: 0.251 0.998 0.982
Sr: 0.367 0.749 0.140
O: 0.660 0.749 0.235
Te: 0.749 0.498 0.518
O: 0.160 0.751 0.765
Sr: 0.633 0.249 0.360
Sr: 0.133 0.251 0.640
O: 0.160 0.749 0.265
Te: 0.751 0.998 0.518
Sr: 0.367 0.751 0.640
Ag: 0.250 0.498 0.295
O: 0.340 0.249 0.265
O: 0.660 0.751 0.735
Te: 0.249 0.002 0.482

Values from the calculation:
* SG: No. 61
* crystal system: orthorhombic
* final energy: -4.17 eV per atom

Entry 7:
The following is a PBE-GGA calculation of an optimized crystal structure of SrAgTeO, from the Open Quantum Materials Database.

Cell lengths 7.931, 3.823, 13.062 Å; angles 90.00, 90.00, 90.00 degrees
Fractional positions:
Te: 0.711 0.250 0.596
Sr: 0.981 0.750 0.732
O: 0.251 0.250 0.153
Ag: 0.775 0.250 0.941
Te: 0.211 0.250 0.904
Ag: 0.225 0.750 0.059
Sr: 0.519 0.250 0.232
O: 0.749 0.750 0.847
Te: 0.289 0.750 0.404
Ag: 0.275 0.250 0.559
Sr: 0.019 0.250 0.268
O: 0.249 0.750 0.653
Te: 0.789 0.750 0.096
Sr: 0.481 0.750 0.768
Ag: 0.725 0.750 0.441
O: 0.751 0.250 0.347

Values from the calculation:
* SG: No. 62
* crystal system: orthorhombic
* final energy: -4.16 eV per atom

Entry 8:
The following is a PBE-GGA calculation of an optimized crystal structure of SrYAgO3, from the Open Quantum Materials Database.

Cell lengths 6.611, 6.611, 8.727 Å; angles 90.00, 90.00, 148.16 degrees
Fractional positions:
Sr: 0.178 0.822 0.250
O: 0.115 0.885 0.985
O: 0.446 0.554 0.750
Ag: 0.118 0.882 0.750
O: 0.885 0.115 0.485
Y: 0.500 0.500 0.500
Y: 0.500 0.500 0.000
O: 0.885 0.115 0.015
O: 0.115 0.885 0.515
Sr: 0.822 0.178 0.750
Ag: 0.882 0.118 0.250
O: 0.554 0.446 0.250

Values from the calculation:
* SG: No. 63
* magnetic moment: 0.000 μB/cell
* crystal system: orthorhombic
* final energy: -6.59 eV per atom

Entry 9:
The following is a PBE-GGA calculation of an optimized crystal structure of Ta2Ag2O7, from the Open Quantum Materials Database.

Cell lengths 5.747, 5.747, 5.445 Å; angles 94.68, 94.68, 108.94 degrees
Fractional positions:
O: 0.429 0.429 0.708
O: 0.000 0.000 0.500
O: 0.571 0.571 0.292
Ta: 0.261 0.261 0.395
O: 0.921 0.578 0.786
Ta: 0.739 0.739 0.605
O: 0.422 0.079 0.214
O: 0.578 0.921 0.786
O: 0.079 0.422 0.214
Ag: 0.692 0.308 0.000
Ag: 0.308 0.692 0.000

Values from the calculation:
* SG: No. 12
* magnetic moment: 0.415 μB/cell
* crystal system: monoclinic
* final energy: -7.51 eV per atom

Entry 10:
The following is a PBE-GGA calculation of an optimized crystal structure of Ta2AgO6, from the Open Quantum Materials Database.

Cell lengths 5.334, 5.334, 6.799 Å; angles 113.14, 113.14, 42.01 degrees
Fractional positions:
Ta: 0.818 0.818 0.363
O: 0.664 0.664 0.095
Ag: 0.000 0.000 0.000
O: 0.011 0.011 0.693
O: 0.698 0.698 0.566
O: 0.989 0.989 0.307
Ta: 0.182 0.182 0.637
O: 0.302 0.302 0.434
O: 0.336 0.336 0.905

Values from the calculation:
* SG: No. 12
* magnetic moment: 0.003 μB/cell
* crystal system: monoclinic
* E above lowest polymorph: 0.0 meV/atom

Entry 11:
The following is a PBE-GGA calculation of an optimized crystal structure of Ta2AgO6, from the Open Quantum Materials Database.

Cell lengths 3.922, 3.923, 7.943 Å; angles 90.00, 90.00, 90.00 degrees
Fractional positions:
O: 0.000 0.500 0.240
O: 0.500 0.000 0.241
O: 0.500 0.500 0.000
O: 0.000 0.500 0.760
Ta: 0.500 0.500 0.741
O: 0.500 0.500 0.500
O: 0.500 0.000 0.759
Ta: 0.500 0.500 0.259
Ag: 0.000 0.000 0.000

Values from the calculation:
* SG: No. 123
* magnetic moment: 0.999 μB/cell
* crystal system: tetragonal
* E above lowest polymorph: 24.8 meV/atom

Entry 12:
The following is a PBE-GGA calculation of an optimized crystal structure of Ta2AgO4, from the Open Quantum Materials Database.

Cell lengths 6.378, 6.378, 6.378 Å; angles 119.99, 90.03, 119.99 degrees
Fractional positions:
O: 0.573 0.716 0.858
Ta: 0.375 0.750 0.125
Ta: 0.375 0.250 0.625
O: 0.142 0.716 0.858
Ta: 0.875 0.250 0.625
O: 0.142 0.284 0.427
Ag: 0.750 0.500 0.250
Ta: 0.375 0.750 0.625
O: 0.608 0.784 0.392
O: 0.177 0.784 0.392
O: 0.608 0.216 0.392
O: 0.142 0.284 0.858
O: 0.608 0.216 0.823
Ag: 0.000 0.000 0.000

Values from the calculation:
* SG: No. 227
* magnetic moment: 0.018 μB/cell
* crystal system: cubic
* final energy: -8.28 eV per atom